(1)
The following is a DFT calculation (PBE) of a relaxed CaAgPd2 crystal.

## Properties
The value obtained for the energy is -67.74 eV for the cell shown. The excess energy over the best structure of this formula in the dataset comes out at 0.0559 eV per atom. The formation enthalpy at 0 K comes out at -0.424 eV/atom.

Unit cell a=6.6845 b=6.6845 c=6.6845 alpha=90.00 beta=90.00 gamma=90.00
Last column: nearest neighbours and their distance in Å.
Sites, in units of the cell vectors:
Ca 0.0000 0.0000 0.0000  8 Pd 2.89
Ca 0.0000 0.5000 0.5000  8 Pd 2.89
Ca 0.5000 0.0000 0.5000  8 Pd 2.89
Ca 0.5000 0.5000 0.0000  8 Pd 2.89
Ag 0.0000 0.0000 0.5000  8 Pd 2.89
Ag 0.0000 0.5000 0.0000  8 Pd 2.89
Ag 0.5000 0.0000 0.0000  8 Pd 2.89
Ag 0.5000 0.5000 0.5000  8 Pd 2.89
Pd 0.2500 0.2500 0.2500  4 Ca 2.89, 4 Ag 2.89
Pd 0.2500 0.2500 0.7500  4 Ca 2.89, 4 Ag 2.89
Pd 0.2500 0.7500 0.2500  4 Ca 2.89, 4 Ag 2.89
Pd 0.2500 0.7500 0.7500  4 Ca 2.89, 4 Ag 2.89
Pd 0.7500 0.2500 0.2500  4 Ca 2.89, 4 Ag 2.89
Pd 0.7500 0.2500 0.7500  4 Ca 2.89, 4 Ag 2.89
Pd 0.7500 0.7500 0.2500  4 Ca 2.89, 4 Ag 2.89
Pd 0.7500 0.7500 0.7500  4 Ag 2.89, 4 Ca 2.89



(2)
The following is a DFT calculation (PBE) of a relaxed RbNaMoI2 crystal.

## Properties
The value obtained for the energy is -15.81 eV for the cell shown. The formation energy without anion corrections is 8 kJ per mole of atoms.

Unit cell a=5.8884 b=5.8884 c=5.8702 alpha=90.00 beta=90.00 gamma=90.00
Last column: nearest neighbours and their distance in Å.
Sites, in units of the cell vectors:
Rb 0.0000 0.0000 0.0000  8 I 4.16, 4 Na 4.16
Na 0.5000 0.5000 0.0000  2 Mo 2.94
Mo 0.5000 0.5000 0.5000  2 Na 2.94, 4 I 2.94
I 0.0000 0.5000 0.5000  2 Mo 2.94
I 0.5000 0.0000 0.5000  2 Mo 2.94



(3)
The following is a DFT calculation (PBE) of a relaxed Ba2Hg10Pb crystal.

## Properties
The value obtained for the energy is -25.81 eV for the cell shown. The formation enthalpy at 0 K comes out at -0.180 eV/atom.

Unit cell a=10.7699 b=13.4080 c=6.1596 alpha=90.00 beta=90.00 gamma=90.00
Last column: nearest neighbours and their distance in Å.
Sites, in units of the cell vectors:
Ba 0.2020 0.0797 0.0000  8 Hg 3.61-3.96, 2 Pb 3.92
Ba 0.2980 0.5797 0.0000  8 Hg 3.61-3.96, 2 Pb 3.92
Ba 0.7020 0.4203 0.0000  8 Hg 3.61-3.96, 2 Pb 3.92
Ba 0.7980 0.9203 0.0000  8 Hg 3.61-3.96, 2 Pb 3.92
Hg 0.0586 0.6182 0.5000  5 Hg 2.92-3.19
Hg 0.1101 0.8049 0.2305  3 Hg 2.84-3.12
Hg 0.1101 0.8049 0.7695  3 Hg 2.84-3.12
Hg 0.1512 0.2137 0.5000  7 Hg 3.07-3.38, 1 Pb 3.30
Hg 0.2093 0.4376 0.5000  5 Hg 2.92-3.12, 1 Pb 3.24
Hg 0.2907 0.9376 0.5000  5 Hg 2.92-3.12, 1 Pb 3.24
Hg 0.3488 0.7137 0.5000  7 Hg 3.07-3.38, 1 Pb 3.30
Hg 0.3899 0.3049 0.2305  3 Hg 2.84-3.12
Hg 0.3899 0.3049 0.7695  3 Hg 2.84-3.12
Hg 0.4414 0.1182 0.5000  5 Hg 2.92-3.19
Hg 0.5586 0.8818 0.5000  5 Hg 2.92-3.19
Hg 0.6101 0.6951 0.2305  3 Hg 2.84-3.12
Hg 0.6101 0.6951 0.7695  3 Hg 2.84-3.12
Hg 0.6512 0.2863 0.5000  7 Hg 3.07-3.38, 1 Pb 3.30
Hg 0.7093 0.0624 0.5000  5 Hg 2.92-3.12, 1 Pb 3.24
Hg 0.7907 0.5624 0.5000  5 Hg 2.92-3.12, 1 Pb 3.24
Hg 0.8488 0.7863 0.5000  7 Hg 3.07-3.38, 1 Pb 3.30
Hg 0.8899 0.1951 0.2305  3 Hg 2.84-3.12
Hg 0.8899 0.1951 0.7695  3 Hg 2.84-3.12
Hg 0.9414 0.3818 0.5000  5 Hg 2.92-3.19
Pb 0.0000 0.0000 0.5000  8 Hg 3.24-3.32
Pb 0.5000 0.5000 0.5000  8 Hg 3.24-3.32



(4)
The following is a DFT calculation (PBE) of a relaxed ScCdRu2 crystal.

## Properties
The value obtained for the energy is -26.09 eV for the cell shown. The formation enthalpy at 0 K comes out at -0.073 eV/atom.

Unit cell a=2.9016 b=2.9016 c=8.2024 alpha=90.00 beta=90.00 gamma=90.00
Last column: nearest neighbours and their distance in Å.
Sites, in units of the cell vectors:
Sc 0.0000 0.0000 0.0000  4 Ru 2.85, 4 Sc 2.90
Cd 0.5000 0.5000 0.3024  4 Cd 2.90, 4 Ru 2.96, 4 Sc 3.22
Ru 0.0000 0.0000 0.5633  8 Ru 2.60-2.90
Ru 0.5000 0.5000 0.7583  8 Ru 2.60-2.90, 4 Sc 2.85



(5)
The following is a DFT calculation (PBE) of a relaxed CeYHo crystal.

## Properties
The value obtained for the energy is -33.48 eV for the cell shown. The excess energy over the best structure of this formula in the dataset comes out at 0.0107 eV per atom. The formation enthalpy at 0 K comes out at 0.078 eV/atom.

Unit cell a=3.5249 b=3.5249 c=14.9936 alpha=90.00 beta=90.00 gamma=90.00
Last column: nearest neighbours and their distance in Å.
Sites, in units of the cell vectors:
Ce 0.0000 0.0000 0.0000  4 Ho 3.48, 4 Y 3.52, 4 Ce 3.52
Ce 0.5000 0.5000 0.5000  4 Ho 3.48, 4 Y 3.52, 4 Ce 3.52
Y 0.0000 0.0000 0.3345  4 Ce 3.52, 4 Y 3.52, 4 Ho 3.59
Y 0.5000 0.5000 0.8345  4 Ce 3.52, 4 Y 3.52, 4 Ho 3.59
Ho 0.0000 0.0000 0.6617  4 Ce 3.48, 4 Ho 3.52, 4 Y 3.59
Ho 0.5000 0.5000 0.1617  4 Ce 3.48, 4 Ho 3.52, 4 Y 3.59



(6)
The following is a DFT calculation (PBE) of a relaxed Mn2SCl crystal.

## Properties
The value obtained for the energy is -95.87 eV for the cell shown. The formation energy without anion corrections is 8 kJ per mole of atoms. The excess energy over the best structure of this formula in the dataset comes out at 0.0000 eV per atom.

Unit cell a=4.9983 b=4.9983 c=10.0531 alpha=90.00 beta=90.00 gamma=90.00
Last column: nearest neighbours and their distance in Å.
Sites, in units of the cell vectors:
Mn 0.2375 0.2500 0.1250  2 S 2.13, 2 Cl 2.20
Mn 0.2500 0.7375 0.3750  2 S 2.13, 2 Cl 2.20
Mn 0.2500 0.7625 0.8750  2 S 2.13, 2 Cl 2.20
Mn 0.2625 0.2500 0.6250  2 S 2.13, 2 Cl 2.20
Mn 0.7375 0.7500 0.6250  2 S 2.13, 2 Cl 2.20
Mn 0.7500 0.2375 0.8750  2 S 2.13, 2 Cl 2.20
Mn 0.7500 0.2625 0.3750  2 S 2.13, 2 Cl 2.20
Mn 0.7625 0.7500 0.1250  2 S 2.13, 2 Cl 2.20
S 0.0000 0.0000 0.0000  4 Mn 2.13
S 0.0000 0.5000 0.2500  4 Mn 2.13
S 0.5000 0.0000 0.7500  4 Mn 2.13
S 0.5000 0.5000 0.5000  4 Mn 2.13
Cl 0.0000 0.0000 0.5000  4 Mn 2.20
Cl 0.0000 0.5000 0.7500  4 Mn 2.20
Cl 0.5000 0.0000 0.2500  4 Mn 2.20
Cl 0.5000 0.5000 0.0000  4 Mn 2.20



(7)
The following is a DFT calculation (PBE) of a relaxed InAg6Au crystal.

## Properties
The value obtained for the energy is -23.32 eV for the cell shown. The excess energy over the best structure of this formula in the dataset comes out at 0.0208 eV per atom. The formation enthalpy at 0 K comes out at -0.025 eV/atom.

Unit cell a=4.2807 b=4.2807 c=8.0532 alpha=90.00 beta=90.00 gamma=90.00
Last column: nearest neighbours and their distance in Å.
Sites, in units of the cell vectors:
In 0.0000 0.0000 0.0000  12 Ag 2.96-3.03
Ag 0.0000 0.5000 0.2542  2 Au 2.92, 8 Ag 2.92-3.03, 2 In 2.96
Ag 0.0000 0.5000 0.7458  2 Au 2.92, 8 Ag 2.92-3.03, 2 In 2.96
Ag 0.5000 0.0000 0.2542  2 Au 2.92, 8 Ag 2.92-3.03, 2 In 2.96
Ag 0.5000 0.0000 0.7458  2 Au 2.92, 8 Ag 2.92-3.03, 2 In 2.96
Ag 0.5000 0.5000 0.0000  8 Ag 2.96, 4 In 3.03
Ag 0.5000 0.5000 0.5000  8 Ag 2.92, 4 Au 3.03
Au 0.0000 0.0000 0.5000  12 Ag 2.92-3.03



(8)
The following is a DFT calculation (PBE) of a relaxed CsRhBr4 crystal.

## Properties
The value obtained for the energy is -39.18 eV for the cell shown. The formation energy without anion corrections is -75 kJ per mole of atoms.

Unit cell a=10.8024 b=10.8024 c=6.1165 alpha=99.32 beta=99.32 gamma=41.55
Last column: nearest neighbours and their distance in Å.
Sites, in units of the cell vectors:
Cs 0.1595 0.1595 0.2351  8 Br 3.69-3.91
Cs 0.8405 0.8405 0.7649  8 Br 3.69-3.91
Rh 0.4087 0.4087 0.3983  5 Br 2.42-2.51
Rh 0.5913 0.5913 0.6017  5 Br 2.42-2.51
Br 0.0975 0.5542 0.2599  1 Rh 2.47
Br 0.2782 0.7218 0.5000  2 Rh 2.51
Br 0.3789 0.3789 0.7641  1 Rh 2.42
Br 0.4458 0.9025 0.7401  1 Rh 2.47
Br 0.5542 0.0975 0.2599  1 Rh 2.47
Br 0.6211 0.6211 0.2359  1 Rh 2.42
Br 0.7218 0.2782 0.5000  2 Rh 2.51
Br 0.9025 0.4458 0.7401  1 Rh 2.47



(9)
The following is a DFT calculation (PBE) of a relaxed MgSN crystal.

## Properties
The value obtained for the energy is -30.29 eV for the cell shown. The formation energy without anion corrections is -35 kJ per mole of atoms. The excess energy over the best structure of this formula in the dataset comes out at 0.0000 eV per atom.

Unit cell a=3.2788 b=4.7720 c=5.8350 alpha=74.99 beta=89.68 gamma=89.96
Last column: nearest neighbours and their distance in Å.
Sites, in units of the cell vectors:
Mg 0.2503 0.1815 0.2931  3 N 2.13-2.15
Mg 0.7497 0.8185 0.7069  3 N 2.13-2.15
S 0.2485 0.3567 0.8207  1 N 1.62
S 0.7515 0.6433 0.1793  1 N 1.62
N 0.2498 0.1129 0.6719  1 S 1.62
N 0.7502 0.8871 0.3281  1 S 1.62



(10)
The following is a DFT calculation (PBE) of a relaxed Na2Tb crystal.

## Properties
The value obtained for the energy is -12.54 eV for the cell shown. The excess energy over the best structure of this formula in the dataset comes out at 0.0042 eV per atom. The formation enthalpy at 0 K comes out at 0.332 eV/atom.

Unit cell a=10.1558 b=5.8743 c=3.3877 alpha=90.00 beta=90.22 gamma=90.00
Last column: nearest neighbours and their distance in Å.
Sites, in units of the cell vectors:
Na 0.1668 0.0000 0.4979  5 Na 3.39, 4 Tb 3.78-3.79
Na 0.3332 0.5000 0.5021  5 Na 3.39, 4 Tb 3.78-3.79
Na 0.6668 0.5000 0.4979  5 Na 3.39, 4 Tb 3.78-3.79
Na 0.8332 0.0000 0.5021  5 Na 3.39, 4 Tb 3.78-3.79
Tb 0.0000 0.5000 0.0000  2 Tb 3.39, 8 Na 3.78-3.79
Tb 0.5000 0.0000 0.0000  2 Tb 3.39, 8 Na 3.78-3.79



> The lowest energy belongs to which entry?

Mn2SCl



> Which of these has the lowest energy?

Mn2SCl



> The lowest energy belongs to which entry?

Mn2SCl



> energy of number 10 (Na2Tb)?

-12.54 eV for the cell shown